No. 1
Here is crystalline KMnSeN2 at its relaxed geometry from Alexandria via LeMat-Bulk. Energies are from GGA-PBE.

The space group is P4/mmm (No. 123) and the conventional cell measures 4.6928, 4.6928 and 6.3674 Å, with angles of 90.00, 90.00 and 90.00 degrees. The asymmetric unit holds K at (0.0000, 0.0000, 0.0000), Mn at (0.5000, 0.5000, 0.5000), Se at (0.0000, 0.0000, 0.5000) and N at (0.0000, 0.5000, 0.0000).

The energy above the most stable polymorph in this dataset is 1.569 eV per atom. For the uncorrected formation energy, the calculation gives 2.19 eV per atom.

=====

No. 2
Here is crystalline SrHfZrIr2 at its relaxed geometry from Alexandria via LeMat-Bulk. Energies are from GGA-PBE.

The space group is I-4m2 (No. 119) and the conventional cell measures 4.5330, 4.5330 and 11.2914 Å, with angles of 90.00, 90.00 and 90.00 degrees. The asymmetric unit holds Sr at (0.0000, 0.0000, 0.0000), Hf at (0.0000, 0.5000, 0.2500), Zr at (0.0000, 0.5000, 0.7500) and Ir at (0.0000, 0.0000, 0.3814).

The uncorrected energy comes out at -8.283 eV/atom.

=====

No. 3
Here is crystalline Te6Ir2Au at its relaxed geometry from Alexandria via LeMat-Bulk. Energies are from GGA-PBE.

The space group is P-3m1 (No. 164) and the conventional cell measures 12.3136, 12.3136 and 5.4392 Å, with angles of 90.00, 90.00 and 120.00 degrees. The asymmetric unit holds Te at (0.0861, 0.5430, 0.2669), Te at (0.1170, 0.2339, 0.2542), Te at (0.2090, 0.4180, 0.7346), Ir at (0.0000, 0.3340, 0.0000), Au at (0.0000, 0.0000, 0.0000) and Au at (0.3333, 0.6667, 0.5274).

For the uncorrected formation energy, the calculation gives -0.18 eV per atom.

=====

No. 4
Here is crystalline Pr6GaRu2 at its relaxed geometry from Alexandria via LeMat-Bulk. Energies are from GGA-PBE.

The space group is Immm (No. 71) and the conventional cell measures 9.6809, 9.8905 and 10.6711 Å, with angles of 90.00, 90.00 and 90.00 degrees. The asymmetric unit holds Pr at (0.0000, 0.1959, 0.2395), Pr at (0.1877, 0.5000, 0.1703), Pr at (0.2180, 0.3203, 0.5000), Ga at (0.0000, 0.0000, 0.0000), Ga at (0.0000, 0.0000, 0.5000), Ru at (0.0000, 0.3180, 0.0000) and Ru at (0.0000, 0.5000, 0.3741).

The energy above the most stable polymorph in this dataset is 0.000 eV per atom.

=====

No. 5
Here is crystalline AgSn2B at its relaxed geometry from Alexandria via LeMat-Bulk. Energies are from GGA-PBE.

The space group is I-42d (No. 122) and the conventional cell measures 6.2165, 6.2165 and 9.6620 Å, with angles of 90.00, 90.00 and 90.00 degrees. The asymmetric unit holds Ag at (0.0000, 0.0000, 0.0000), Sn at (0.1809, 0.2500, 0.6250) and B at (0.0000, 0.0000, 0.5000).

The uncorrected energy comes out at -3.878 eV/atom.

=====

No. 6
Here is crystalline KTmAuO2 at its relaxed geometry from Alexandria via LeMat-Bulk. Energies are from GGA-PBE.

The space group is P2/c (No. 13) and the conventional cell measures 6.6400, 5.4333 and 6.3524 Å, with angles of 90.00, 95.61 and 90.00 degrees. The asymmetric unit holds K at (0.0000, 0.2046, 0.2500), Tm at (0.5000, 0.0191, 0.7500), Au at (0.5000, 0.5000, 0.0000) and O at (0.2951, 0.1065, 0.9871).

For the uncorrected formation energy, the calculation gives -1.74 eV per atom.